1.
# PBE AlAg3Os, relaxed
# Energy of formation, kcal/mol of atoms: 32.58
# Total energy, eV/atom: -3.29
# Relative energy among the computed polymorphs, meV per atom: 0
# Spin magnetization, Bohr magnetons per cell: 2.02
data_AlAg3Os
_cell_length_a 4.656
_cell_length_b 4.656
_cell_length_c 4.656
_cell_angle_alpha 90.00
_cell_angle_beta 90.00
_cell_angle_gamma 90.00
_space_group_name_H-M_alt 'P m -3 m'
_space_group_IT_number 221
_space_group_name_Hall '-P 4 2 3'
loop_
_atom_site_label
_atom_site_type_symbol
_atom_site_fract_x
_atom_site_fract_y
_atom_site_fract_z
Al1 Al 0.000 0.000 0.000
Ag1 Ag 0.000 0.000 0.500
Os1 Os 0.500 0.500 0.500

***

2.
# PBE PmThNiOs, relaxed
# Energy of formation, kcal/mol of atoms: -4.73
# Total energy, eV/atom: -7.50
# Spin magnetization, Bohr magnetons per cell: 0.00
data_PmThNiOs
_cell_length_a 7.028
_cell_length_b 7.028
_cell_length_c 7.028
_cell_angle_alpha 90.00
_cell_angle_beta 90.00
_cell_angle_gamma 90.00
_space_group_name_H-M_alt 'F -4 3 m'
_space_group_IT_number 216
_space_group_name_Hall 'F -4 2 3'
loop_
_atom_site_label
_atom_site_type_symbol
_atom_site_fract_x
_atom_site_fract_y
_atom_site_fract_z
Pm1 Pm 0.000 0.000 0.000
Th1 Th 0.000 0.000 0.500
Ni1 Ni 0.250 0.250 0.750
Os1 Os 0.250 0.250 0.250

***

3.
# PBE YBi3N, relaxed
# Total energy, eV/atom: -5.14
# Relative energy among the computed polymorphs, meV per atom: 0
# Spin magnetization, Bohr magnetons per cell: 0.00
data_YBi3N
_cell_length_a 4.998
_cell_length_b 4.998
_cell_length_c 4.998
_cell_angle_alpha 90.00
_cell_angle_beta 90.00
_cell_angle_gamma 90.00
_space_group_name_H-M_alt 'P m -3 m'
_space_group_IT_number 221
_space_group_name_Hall '-P 4 2 3'
loop_
_atom_site_label
_atom_site_type_symbol
_atom_site_fract_x
_atom_site_fract_y
_atom_site_fract_z
Y1 Y 0.000 0.000 0.000
Bi1 Bi 0.000 0.500 0.500
N1 N 0.500 0.500 0.500